# 1
! InPb2Cl, relaxed, DFT PBE; values from VASP
&SYSTEM
  ibrav = 0, nat = 4, ntyp = 3
/
ATOMIC_SPECIES
Pb 207.20 Pb.upf
Cl 35.45 Cl.upf
In 114.82 In.upf
CELL_PARAMETERS angstrom
-0.352 1.426 -3.259
0.013 -3.274 -1.434
-9.340 -0.402 0.832
ATOMIC_POSITIONS crystal
Pb 0.000 0.000 0.996
Pb 0.500 0.500 0.244
Cl 0.000 0.000 0.542
In 0.500 0.500 0.718
! Space-group type: No. 99
! Formation energy (no corrections) in eV per formula unit: -1.11
! Relative energy among the computed polymorphs in eV per formula unit: 0.13

***

# 2
! DyCuHg, relaxed, DFT PBE; values from VASP
&SYSTEM
  ibrav = 0, nat = 12, ntyp = 3
/
ATOMIC_SPECIES
Hg 200.59 Hg.upf
Dy 162.50 Dy.upf
Cu 63.55 Cu.upf
CELL_PARAMETERS angstrom
3.856 0.189 0.177
1.543 7.512 0.286
1.447 1.832 9.069
ATOMIC_POSITIONS crystal
Hg 0.429 0.714 0.930
Hg 0.571 0.786 0.570
Hg 0.571 0.286 0.070
Hg 0.429 0.214 0.430
Dy 0.126 0.468 0.778
Dy 0.126 0.968 0.278
Dy 0.874 0.532 0.222
Dy 0.874 0.032 0.722
Cu 0.770 0.404 0.556
Cu 0.770 0.904 0.056
Cu 0.230 0.596 0.444
Cu 0.230 0.096 0.944
! Space-group type: No. 2
! Formation energy in eV per formula unit: -0.9

***

# 3
! PrDyGa, relaxed, DFT PBE; values from VASP
&SYSTEM
  ibrav = 0, nat = 3, ntyp = 3
/
ATOMIC_SPECIES
Pr 140.91 Pr.upf
Ga 69.72 Ga.upf
Dy 162.50 Dy.upf
CELL_PARAMETERS angstrom
5.053 0.000 0.000
2.526 4.376 0.000
2.526 1.459 4.126
ATOMIC_POSITIONS crystal
Pr 0.000 0.000 0.000
Ga 0.250 0.250 0.250
Dy 0.500 0.500 0.500
! Space-group type: No. 216
! Formation energy in eV per formula unit: -0.7
! Relative energy among the computed polymorphs in eV per formula unit: 0.51

***

# 4
! Ac2AgGe7, relaxed, DFT PBE; values from VASP
&SYSTEM
  ibrav = 0, nat = 10, ntyp = 3
/
ATOMIC_SPECIES
Ac 227.00 Ac.upf
Ag 107.87 Ag.upf
Ge 72.64 Ge.upf
CELL_PARAMETERS angstrom
4.682 0.000 0.000
0.000 4.682 0.000
0.000 0.000 10.733
ATOMIC_POSITIONS crystal
Ac 0.500 0.000 0.753
Ac 0.000 0.500 0.247
Ag 0.500 0.500 0.000
Ge 0.000 0.500 0.866
Ge 0.500 0.000 0.380
Ge 0.500 0.000 0.134
Ge 0.000 0.500 0.620
Ge 0.000 0.000 0.500
Ge 0.000 0.000 0.000
Ge 0.500 0.500 0.500
! Space-group type: No. 115
! Formation energy in eV per formula unit: -2.7

***

# 5
! CdSiAg2, relaxed, DFT PBE; values from VASP
&SYSTEM
  ibrav = 0, nat = 4, ntyp = 3
/
ATOMIC_SPECIES
Ag 107.87 Ag.upf
Cd 112.41 Cd.upf
Si 28.09 Si.upf
CELL_PARAMETERS angstrom
2.991 0.000 0.000
0.000 4.025 0.000
0.000 0.000 6.024
ATOMIC_POSITIONS crystal
Ag 0.000 0.000 0.988
Ag 0.000 0.000 0.512
Cd 0.500 0.500 0.250
Si 0.500 0.500 0.750
! Space-group type: No. 47
! Formation energy (no corrections) in eV per formula unit: 0.76
! Relative energy among the computed polymorphs in eV per formula unit: 0.27

***

# 6
! La2CrS, relaxed, DFT PBE; values from VASP
&SYSTEM
  ibrav = 0, nat = 8, ntyp = 3
/
ATOMIC_SPECIES
Cr 52.00 Cr.upf
S 32.06 S.upf
La 138.91 La.upf
CELL_PARAMETERS angstrom
-0.216 0.669 -6.895
4.146 -5.513 -0.665
-1.226 -4.806 -3.911
ATOMIC_POSITIONS crystal
Cr 0.000 0.000 0.000
Cr 0.750 0.250 0.500
S 0.500 0.500 0.000
S 0.250 0.750 0.500
La 0.690 0.125 0.250
La 0.060 0.625 0.250
La 0.375 0.310 0.750
La 0.875 0.940 0.750
! Space-group type: No. 122
! Formation energy (no corrections) in eV per formula unit: -0.03